Entry 1:
GGA+U LiFeAsO4, relaxed; energy above the lowest structure with this stoichiometry = 0 meV/atom; DOS at the Fermi energy = 0.00 states/eV/atom
1.0
10.7384 0.0000 0.0000
0.0000 6.1667 0.0000
0.0000 0.0000 4.9541
Li Fe As O
4 4 4 16
direct
0.0000 0.0000 0.0000
0.0000 0.5000 0.0000
0.5000 0.0000 0.5000
0.5000 0.5000 0.5000
0.2225 0.2500 0.4858
0.2775 0.7500 0.9858
0.7225 0.2500 0.0142
0.7775 0.7500 0.5142
0.0934 0.7500 0.4334
0.4066 0.2500 0.9334
0.5934 0.7500 0.0666
0.9066 0.2500 0.5666
0.0527 0.2500 0.7115
0.0944 0.7500 0.7785
0.1694 0.5330 0.2804
0.1694 0.9670 0.2804
0.3306 0.0330 0.7804
0.3306 0.4670 0.7804
0.4056 0.2500 0.2785
0.4473 0.7500 0.2115
0.5527 0.2500 0.7885
0.5944 0.7500 0.7215
0.6694 0.5330 0.2196
0.6694 0.9670 0.2196
0.8306 0.0330 0.7196
0.8306 0.4670 0.7196
0.9056 0.2500 0.2215
0.9473 0.7500 0.2885

=====

Entry 2:
GGA+U Li2FeAsO4, relaxed; DOS at the Fermi energy = 0.15 states/eV/atom; electronic total energy = -5.76 eV per atom
1.0
0.0000 3.8966 3.2822
3.1917 0.0000 3.2822
3.1917 3.8966 0.0000
Li Fe As O
2 1 1 4
direct
0.0000 0.0000 0.5000
0.5000 0.5000 0.0000
0.2661 0.2661 0.7339
0.7400 0.7400 0.2600
0.0353 0.5512 0.4488
0.3444 0.7807 0.6556
0.5512 0.0353 0.9647
0.7807 0.3444 0.2193

=====

Entry 3:
GGA+U LiFeAsO4, relaxed; energy above the lowest structure with this stoichiometry = 27 meV/atom; DOS at the Fermi energy = 0.00 states/eV/atom
1.0
-2.9493 3.0186 4.1609
2.9493 -3.0186 4.1609
2.9493 3.0186 -4.1609
Li Fe As O
2 2 2 8
direct
0.5000 0.0000 0.0000
0.5000 0.5000 0.5000
0.0000 0.0000 0.0000
0.5000 0.0000 0.5000
0.1204 0.3704 0.7500
0.8796 0.6296 0.2500
0.2329 0.7453 0.4876
0.2424 0.2547 0.9876
0.2446 0.2550 0.5104
0.2446 0.7342 0.9896
0.7554 0.2658 0.0104
0.7554 0.7450 0.4896
0.7576 0.7453 0.0124
0.7671 0.2547 0.5124

=====

What did the first record say?
GGA+U LiFeAsO4, relaxed; energy above the lowest structure with this stoichiometry = 0 meV/atom; DOS at the Fermi energy = 0.00 states/eV/atom
1.0
10.7384 0.0000 0.0000
0.0000 6.1667 0.0000
0.0000 0.0000 4.9541
Li Fe As O
4 4 4 16
direct
0.0000 0.0000 0.0000
0.0000 0.5000 0.0000
0.5000 0.0000 0.5000
0.5000 0.5000 0.5000
0.2225 0.2500 0.4858
0.2775 0.7500 0.9858
0.7225 0.2500 0.0142
0.7775 0.7500 0.5142
0.0934 0.7500 0.4334
0.4066 0.2500 0.9334
0.5934 0.7500 0.0666
0.9066 0.2500 0.5666
0.0527 0.2500 0.7115
0.0944 0.7500 0.7785
0.1694 0.5330 0.2804
0.1694 0.9670 0.2804
0.3306 0.0330 0.7804
0.3306 0.4670 0.7804
0.4056 0.2500 0.2785
0.4473 0.7500 0.2115
0.5527 0.2500 0.7885
0.5944 0.7500 0.7215
0.6694 0.5330 0.2196
0.6694 0.9670 0.2196
0.8306 0.0330 0.7196
0.8306 0.4670 0.7196
0.9056 0.2500 0.2215
0.9473 0.7500 0.2885

=====

Copy entry 3 word for word.
GGA+U LiFeAsO4, relaxed; energy above the lowest structure with this stoichiometry = 27 meV/atom; DOS at the Fermi energy = 0.00 states/eV/atom
1.0
-2.9493 3.0186 4.1609
2.9493 -3.0186 4.1609
2.9493 3.0186 -4.1609
Li Fe As O
2 2 2 8
direct
0.5000 0.0000 0.0000
0.5000 0.5000 0.5000
0.0000 0.0000 0.0000
0.5000 0.0000 0.5000
0.1204 0.3704 0.7500
0.8796 0.6296 0.2500
0.2329 0.7453 0.4876
0.2424 0.2547 0.9876
0.2446 0.2550 0.5104
0.2446 0.7342 0.9896
0.7554 0.2658 0.0104
0.7554 0.7450 0.4896
0.7576 0.7453 0.0124
0.7671 0.2547 0.5124